# 1
# LiSi6Ni6

LiSi6Ni6 after structural relaxation (PBEsol, Alexandria).

Results
N(E_F)   0.262 states/eV/atom
Uncorrected formation energy   -0.5696 eV/atom

```
data_LiSi6Ni6
_chemical_formula_sum 'Li3 Si18 Ni18'
_symmetry_space_group_name_H-M 'P 6/m m m'
_symmetry_Int_Tables_number 191
_symmetry_space_group_name_Hall '-P 6 2'
_cell_length_a 8.3524
_cell_length_b 8.3524
_cell_length_c 7.5230
_cell_angle_alpha 90.00
_cell_angle_beta 90.00
_cell_angle_gamma 120.00
loop_
_atom_site_label
_atom_site_type_symbol
_atom_site_fract_x
_atom_site_fract_y
_atom_site_fract_z
Li1 Li 0.0000 0.0000 0.0000
Li2 Li 0.3333 0.6667 0.5000
Si1 Si 0.0000 0.0000 0.3427
Si2 Si 0.0000 0.3308 0.0000
Si3 Si 0.0000 0.3364 0.5000
Si4 Si 0.3333 0.6667 0.1576
Ni1 Ni 0.0000 0.5000 0.2454
Ni2 Ni 0.1668 0.3336 0.2521
```

=====

# 2
# Li2SiNi

Li2SiNi after structural relaxation (PBEsol, Alexandria).

Results
N(E_F)   0.337 states/eV/atom
Uncorrected formation energy   -0.2794 eV/atom

```
data_Li2SiNi
_chemical_formula_sum 'Li2 Si1 Ni1'
_symmetry_space_group_name_H-M 'P 4 m m'
_symmetry_Int_Tables_number 99
_cell_length_a 2.902
_cell_length_b 2.902
_cell_length_c 6.172
_cell_angle_alpha 90.00
_cell_angle_beta 90.00
_cell_angle_gamma 90.00
loop_
_symmetry_equiv_pos_as_xyz
'x,y,z'
'-y,x,z'
'-x,-y,z'
'y,-x,z'
'-x,y,z'
'y,x,z'
'x,-y,z'
'-y,-x,z'
loop_
_atom_site_label
_atom_site_type_symbol
_atom_site_fract_x
_atom_site_fract_y
_atom_site_fract_z
Li1 Li 0.000 0.000 0.000
Li2 Li 0.500 0.500 0.308
Si1 Si 0.500 0.500 0.736
Ni1 Ni 0.000 0.000 0.563
```

=====

# 3
# Li2SiNi

Li2SiNi after structural relaxation (PBEsol, Alexandria).

Results
N(E_F)   0.389 states/eV/atom
Uncorrected formation energy   -0.2166 eV/atom

```
data_Li2SiNi
_chemical_formula_sum 'Li4 Si2 Ni2'
_symmetry_space_group_name_H-M 'C 1 2/m 1'
_symmetry_Int_Tables_number 12
_cell_length_a 4.586
_cell_length_b 8.694
_cell_length_c 2.583
_cell_angle_alpha 90.00
_cell_angle_beta 114.66
_cell_angle_gamma 90.00
loop_
_symmetry_equiv_pos_as_xyz
'x,y,z'
'-x,-y,-z'
'-x,y,-z'
'x,-y,z'
'x+1/2,y+1/2,z'
'-x+1/2,-y+1/2,-z'
'-x+1/2,y+1/2,-z'
'x+1/2,-y+1/2,z'
loop_
_atom_site_label
_atom_site_type_symbol
_atom_site_fract_x
_atom_site_fract_y
_atom_site_fract_z
Li1 Li 0.250 0.250 0.000
Si1 Si 0.000 0.000 0.500
Ni1 Ni 0.000 0.500 0.500
```